(1)
KCaSc2: relaxed, PBE-GGA.

Computed properties:
ΔE to the lowest computed polymorph = 0.2297 eV per atom
calculated density = 1.95 Mg/m³

Lattice parameters (Å, degrees): 3.405 6.012 7.155 90.00 101.13 90.00
Positions (direct):
K  0.000  0.000  0.000
Ca  0.500  0.000  0.500
Sc  0.291  0.500  0.690
Sc  0.709  0.500  0.310

(2)
KCaSc2: relaxed, PBE-GGA.

Computed properties:
ΔE to the lowest computed polymorph = 0.1908 eV per atom
calculated density = 2.09 Mg/m³

Lattice parameters (Å, degrees): 3.397 3.397 12.709 90.00 90.00 113.83
Positions (direct):
K  0.000  0.000  0.000
Ca  0.000  0.000  0.500
Sc  0.500  0.500  0.272
Sc  0.500  0.500  0.728

(3)
KCa2Sc: relaxed, PBE-GGA.

Computed properties:
ΔE to the lowest computed polymorph = 0.0308 eV per atom
calculated density = 1.69 Mg/m³

Lattice parameters (Å, degrees): 13.232 13.232 13.232 16.43 16.43 16.43
Positions (direct):
K  0.000  0.000  0.000
Ca  0.237  0.237  0.237
Ca  0.763  0.763  0.763
Sc  0.500  0.500  0.500

(4)
KCa2Sc: relaxed, PBE-GGA.

Computed properties:
ΔE to the lowest computed polymorph = 0.0000 eV per atom
calculated density = 1.64 Mg/m³

Lattice parameters (Å, degrees): 3.787 3.787 11.563 90.00 90.00 90.00
Positions (direct):
K  0.000  0.000  0.000
Ca  0.500  0.500  0.302
Ca  0.500  0.500  0.698
Sc  0.000  0.000  0.500

(5)
K4CaSc: relaxed, PBE-GGA.

Computed properties:
calculated density = 1.29 Mg/m³
uncorrected energy = -9.4 eV for the cell shown

Lattice parameters (Å, degrees): 7.609 7.609 7.609 60.00 60.00 60.00
Positions (direct):
K  0.125  0.125  0.125
K  0.125  0.125  0.626
K  0.125  0.626  0.125
K  0.626  0.125  0.125
Ca  0.500  0.500  0.500
Sc  0.750  0.750  0.750

(6)
KCa2Sc: relaxed, PBE-GGA.

Computed properties:
ΔE to the lowest computed polymorph = 0.0960 eV per atom
calculated density = 1.72 Mg/m³

Lattice parameters (Å, degrees): 3.627 3.627 12.911 90.00 90.00 110.85
Positions (direct):
K  0.000  0.000  0.000
Ca  0.000  0.000  0.467
Ca  0.500  0.500  0.714
Sc  0.500  0.500  0.258

(7)
KCa2Sc: relaxed, PBE-GGA.

Computed properties:
ΔE to the lowest computed polymorph = 0.1586 eV per atom
calculated density = 1.71 Mg/m³

Lattice parameters (Å, degrees): 3.613 6.251 7.123 90.00 97.61 90.00
Positions (direct):
K  0.000  0.000  0.000
Ca  0.325  0.500  0.749
Ca  0.501  0.000  0.482
Sc  0.821  0.500  0.300

(8)
KCa2Sc: relaxed, PBE-GGA.

Computed properties:
ΔE to the lowest computed polymorph = 0.1602 eV per atom
calculated density = 1.70 Mg/m³

Lattice parameters (Å, degrees): 6.686 6.686 6.861 97.48 97.48 31.83
Positions (direct):
K  0.000  0.000  0.000
Ca  0.512  0.512  0.517
Ca  0.757  0.757  0.263
Sc  0.249  0.249  0.718

(9)
KCaSc2: relaxed, PBE-GGA.

Computed properties:
ΔE to the lowest computed polymorph = 0.3542 eV per atom
calculated density = 2.04 Mg/m³

Lattice parameters (Å, degrees): 4.906 4.906 5.711 90.00 90.00 90.00
Positions (direct):
K  0.000  0.000  0.000
Ca  0.500  0.500  0.000
Sc  0.000  0.500  0.500
Sc  0.500  0.000  0.500

(10)
KCaSc2: relaxed, PBE-GGA.

Computed properties:
ΔE to the lowest computed polymorph = 0.2840 eV per atom
calculated density = 2.10 Mg/m³

Lattice parameters (Å, degrees): 3.611 5.898 6.265 90.00 90.00 90.00
Positions (direct):
K  0.000  0.000  0.000
Ca  0.500  0.500  0.000
Sc  0.000  0.500  0.500
Sc  0.500  0.000  0.500

(11)
KCaSc3: relaxed, PBE-GGA.

Computed properties:
ΔE to the lowest computed polymorph = 0.0025 eV per atom
calculated density = 2.43 Mg/m³

Lattice parameters (Å, degrees): 5.266 5.266 5.266 90.00 90.00 90.00
Positions (direct):
K  0.000  0.000  0.000
Ca  0.500  0.500  0.500
Sc  0.000  0.000  0.500
Sc  0.000  0.500  0.000
Sc  0.500  0.000  0.000

(12)
KCaSc2: relaxed, PBE-GGA.

Computed properties:
ΔE to the lowest computed polymorph = 0.2338 eV per atom
calculated density = 2.01 Mg/m³

Lattice parameters (Å, degrees): 3.414 3.414 11.985 90.00 90.00 90.00
Positions (direct):
K  0.000  0.000  0.000
Ca  0.000  0.000  0.500
Sc  0.500  0.500  0.279
Sc  0.500  0.500  0.721

Repeat the sixth record exactly.
KCa2Sc: relaxed, PBE-GGA.

Computed properties:
ΔE to the lowest computed polymorph = 0.0960 eV per atom
calculated density = 1.72 Mg/m³

Lattice parameters (Å, degrees): 3.627 3.627 12.911 90.00 90.00 110.85
Positions (direct):
K  0.000  0.000  0.000
Ca  0.000  0.000  0.467
Ca  0.500  0.500  0.714
Sc  0.500  0.500  0.258